1.
## Rb2AcCl4 (PBE)

Data for a relaxed structure of Rb2AcCl4.

Results
SG: No. 139
Formation energy (no corrections) in eV/f.u.: -13.167
Uncorrected energy in eV/atom: -3.800

Unit cell a=5.8828 b=5.8828 c=17.2057 alpha=90.00 beta=90.00 gamma=90.00
Element x y z (fractional)
Rb 0.0000 0.0000 0.1435
Rb 0.0000 0.0000 0.8565
Rb 0.5000 0.5000 0.3565
Rb 0.5000 0.5000 0.6435
Ac 0.0000 0.0000 0.5000
Ac 0.5000 0.5000 0.0000
Cl 0.0000 0.0000 0.3336
Cl 0.0000 0.0000 0.6664
Cl 0.0000 0.5000 0.0000
Cl 0.0000 0.5000 0.5000
Cl 0.5000 0.0000 0.0000
Cl 0.5000 0.0000 0.5000
Cl 0.5000 0.5000 0.1664
Cl 0.5000 0.5000 0.8336


2.
## Mg2InRu (PBE)

Data for a relaxed structure of Mg2InRu.

Results
SG: No. 123
Energy of formation in eV/f.u.: -0.1
Uncorrected energy in eV/atom: -3.823

Unit cell a=3.4456 b=3.4456 c=6.1541 alpha=90.00 beta=90.00 gamma=90.00
Element x y z (fractional)
Mg 0.0000 0.0000 0.2140
Mg 0.0000 0.0000 0.7860
In 0.5000 0.5000 0.5000
Ru 0.5000 0.5000 0.0000


3.
## LuAu (PBE)

Data for a relaxed structure of LuAu.

Results
SG: No. 221
Energy of formation in eV/f.u.: -1.8
Uncorrected energy in eV/atom: -4.796

Unit cell a=3.5262 b=3.5262 c=3.5262 alpha=90.00 beta=90.00 gamma=90.00
Element x y z (fractional)
Lu 0.0000 0.0000 0.0000
Au 0.5000 0.5000 0.5000


4.
## Tl3Pd12Au (PBE)

Data for a relaxed structure of Tl3Pd12Au.

Results
SG: No. 123
Energy of formation in eV/f.u.: -2.4
Uncorrected energy in eV/atom: -4.693

Unit cell a=4.0714 b=4.0714 c=16.1718 alpha=90.00 beta=90.00 gamma=90.00
Element x y z (fractional)
Tl 0.0000 0.0000 0.0000
Tl 0.0000 0.0000 0.2528
Tl 0.0000 0.0000 0.7472
Pd 0.0000 0.5000 0.1273
Pd 0.0000 0.5000 0.3789
Pd 0.0000 0.5000 0.6211
Pd 0.0000 0.5000 0.8727
Pd 0.5000 0.0000 0.1273
Pd 0.5000 0.0000 0.3789
Pd 0.5000 0.0000 0.6211
Pd 0.5000 0.0000 0.8727
Pd 0.5000 0.5000 0.0000
Pd 0.5000 0.5000 0.2541
Pd 0.5000 0.5000 0.5000
Pd 0.5000 0.5000 0.7459
Au 0.0000 0.0000 0.5000


5.
## Tb3Si4Ni2 (PBE)

Data for a relaxed structure of Tb3Si4Ni2.

Results
SG: No. 12
Offset from the most stable computed form in kJ per mole of atoms: 0.0
Formation energy (no corrections) in eV/f.u.: -7.510
Uncorrected energy in eV/atom: -6.073

Unit cell a=5.7020 b=5.7020 c=8.0172 alpha=99.70 beta=99.70 gamma=40.84
Element x y z (fractional)
Tb 0.0000 0.0000 0.0000
Tb 0.3357 0.3357 0.3377
Tb 0.6643 0.6643 0.6623
Si 0.0564 0.0564 0.3828
Si 0.2810 0.2810 0.9331
Si 0.7190 0.7190 0.0669
Si 0.9436 0.9436 0.6172
Ni 0.3919 0.3919 0.7213
Ni 0.6081 0.6081 0.2787


6.
## SrFe4Cu (PBE)

Data for a relaxed structure of SrFe4Cu.

Results
SG: No. 216
Energy of formation in eV/f.u.: 2.7
Uncorrected energy in eV/atom: -6.149

Unit cell a=5.1011 b=5.1011 c=5.1011 alpha=60.00 beta=60.00 gamma=60.00
Element x y z (fractional)
Sr 0.0000 0.0000 0.0000
Fe 0.3757 0.3757 0.3757
Fe 0.3757 0.3757 0.8729
Fe 0.3757 0.8729 0.3757
Fe 0.8729 0.3757 0.3757
Cu 0.7500 0.7500 0.7500


7.
## Tb12SmSc3 (PBE)

Data for a relaxed structure of Tb12SmSc3.

Results
SG: No. 123
Energy of formation in eV/f.u.: 0.6
Uncorrected energy in eV/atom: -4.920

Unit cell a=4.9692 b=4.9692 c=19.7986 alpha=90.00 beta=90.00 gamma=90.00
Element x y z (fractional)
Tb 0.0000 0.0000 0.0000
Tb 0.0000 0.0000 0.2461
Tb 0.0000 0.0000 0.5000
Tb 0.0000 0.0000 0.7539
Tb 0.0000 0.5000 0.1234
Tb 0.0000 0.5000 0.3702
Tb 0.0000 0.5000 0.6298
Tb 0.0000 0.5000 0.8766
Tb 0.5000 0.0000 0.1234
Tb 0.5000 0.0000 0.3702
Tb 0.5000 0.0000 0.6298
Tb 0.5000 0.0000 0.8766
Sm 0.5000 0.5000 0.5000
Sc 0.5000 0.5000 0.0000
Sc 0.5000 0.5000 0.2470
Sc 0.5000 0.5000 0.7530


8.
## Nd3Sm5Dy3 (PBE)

Data for a relaxed structure of Nd3Sm5Dy3.

Results
SG: No. 189
Offset from the most stable computed form in kJ per mole of atoms: 0.0
Energy of formation in eV/f.u.: 3.5
Uncorrected energy in eV/atom: -4.383

Unit cell a=11.2935 b=11.2935 c=3.4769 alpha=90.00 beta=90.00 gamma=120.00
Element x y z (fractional)
Nd 0.0000 0.3411 0.0000
Nd 0.3411 0.0000 0.0000
Nd 0.6589 0.6589 0.0000
Sm 0.0000 0.8393 0.0000
Sm 0.1607 0.1607 0.0000
Sm 0.3333 0.6667 0.0000
Sm 0.6667 0.3333 0.0000
Sm 0.8393 0.0000 0.0000
Dy 0.0000 0.5946 0.5000
Dy 0.4054 0.4054 0.5000
Dy 0.5946 0.0000 0.5000


9.
## K2TaCu (PBE)

Data for a relaxed structure of K2TaCu.

Results
SG: No. 123
Offset from the most stable computed form in kJ per mole of atoms: 36.8
Energy of formation in eV/f.u.: 4.5
Uncorrected energy in eV/atom: -3.406

Unit cell a=2.9750 b=2.9750 c=11.4178 alpha=90.00 beta=90.00 gamma=90.00
Element x y z (fractional)
K 0.0000 0.0000 0.2261
K 0.0000 0.0000 0.7739
Ta 0.5000 0.5000 0.5000
Cu 0.5000 0.5000 0.0000


10.
## FeHRh2Au (PBE)

Data for a relaxed structure of FeHRh2Au.

Results
SG: No. 123
Offset from the most stable computed form in kJ per mole of atoms: 8.2
Uncorrected energy in eV/atom: -5.834

Unit cell a=3.9678 b=3.9678 c=3.9701 alpha=90.00 beta=90.00 gamma=90.00
Element x y z (fractional)
Fe 0.0000 0.0000 0.0000
H 0.5000 0.5000 0.5000
Rh 0.0000 0.5000 0.5000
Rh 0.5000 0.0000 0.5000
Au 0.5000 0.5000 0.0000


11.
## ZnCu (PBE)

Data for a relaxed structure of ZnCu.

Results
SG: No. 19
Energy of formation in eV/f.u.: -0.1
Uncorrected energy in eV/atom: -2.732

Unit cell a=4.6930 b=4.8672 c=9.3187 alpha=90.00 beta=90.00 gamma=90.00
Element x y z (fractional)
Zn 0.1518 0.0080 0.1953
Zn 0.1616 0.3201 0.9446
Zn 0.3384 0.6799 0.4446
Zn 0.3482 0.9920 0.6953
Zn 0.6518 0.4920 0.8047
Zn 0.6616 0.1799 0.0554
Zn 0.8384 0.8201 0.5554
Zn 0.8482 0.5080 0.3047
Cu 0.1487 0.4822 0.6857
Cu 0.1734 0.1896 0.4478
Cu 0.3266 0.8104 0.9478
Cu 0.3513 0.5178 0.1857
Cu 0.6487 0.0178 0.3143
Cu 0.6734 0.3104 0.5522
Cu 0.8266 0.6896 0.0522
Cu 0.8513 0.9822 0.8143


12.
## Li2MnCd (PBE)

Data for a relaxed structure of Li2MnCd.

Results
SG: No. 166
Energy of formation in eV/f.u.: 0.6
Uncorrected energy in eV/atom: -3.332

Unit cell a=2.8669 b=2.8669 c=28.9965 alpha=90.00 beta=90.00 gamma=120.00
Element x y z (fractional)
Li 0.0000 0.0000 0.2458
Li 0.0000 0.0000 0.7542
Li 0.3333 0.6667 0.4209
Li 0.3333 0.6667 0.9125
Li 0.6667 0.3333 0.0875
Li 0.6667 0.3333 0.5791
Mn 0.0000 0.0000 0.5000
Mn 0.3333 0.6667 0.1667
Mn 0.6667 0.3333 0.8333
Cd 0.0000 0.0000 0.0000
Cd 0.3333 0.6667 0.6667
Cd 0.6667 0.3333 0.3333